No. 1
This record from Alexandria via LeMat-Bulk describes crystalline BeAlPb2 at its relaxed geometry. The functional is GGA-PBE.

The energy above the most stable polymorph in this dataset is 144 meV/atom. The value obtained for the total energy is -3.2635 eV per atom. The calculation puts the formation energy from the elements at 0.46 eV per atom. The calculation puts the density at 8.1 g/cm³. For the density of states at the Fermi level, the calculation gives 0.36 states/eV per atom.

The structure belongs to space group Imm2 (No. 44); the cell edges are 3.3428, 5.3703 and 10.2630 Å and the angles 90.00°, 90.00° and 90.00°. Symmetry generates all atoms from Be at (0.0000, 0.0000, 0.0000), Al at (0.0000, 0.5000, 0.3206), Pb at (0.0000, 0.0000, 0.5303) and Pb at (0.0000, 0.5000, 0.7289).

No. 2
This record from Alexandria via LeMat-Bulk describes crystalline Cs3PrSm2S6 at its relaxed geometry. The functional is GGA-PBE.

The value obtained for the total energy is -5.2756 eV per atom. As for the raw formation energy: -1.8136 eV per atom. The calculation puts the density at 4.6 g/cm³. For the density of states at the Fermi level, the calculation gives 0.00 states/eV per atom.

The structure belongs to space group C2/m (No. 12); the cell edges are 7.3216, 12.6810 and 8.4559 Å and the angles 90.00°, 106.78° and 90.00°. Symmetry generates all atoms from Cs at (0.0000, 0.0000, 0.0000), Cs at (0.0000, 0.3340, 0.0000), Pr at (0.0000, 0.5000, 0.5000), Sm at (0.0000, 0.1667, 0.5000), S at (0.2237, 0.0000, 0.6855) and S at (0.2310, 0.3309, 0.6858).

No. 3
This record from Alexandria via LeMat-Bulk describes crystalline LuTiCuAu at its relaxed geometry. The functional is GGA-PBE.

The value obtained for the total energy is -5.2552 eV per atom. The calculation puts the formation energy from the elements at -0.31 eV per atom. The calculation puts the density at 10.8 g/cm³. For the density of states at the Fermi level, the calculation gives 1.11 states/eV per atom.

The structure belongs to space group F-43m (No. 216); the cell edges are 6.6826, 6.6826 and 6.6826 Å and the angles 90.00°, 90.00° and 90.00°. Symmetry generates all atoms from Lu at (0.0000, 0.0000, 0.0000), Ti at (0.0000, 0.0000, 0.5000), Cu at (0.2500, 0.2500, 0.2500) and Au at (0.2500, 0.2500, 0.7500).

No. 4
This record from Alexandria via LeMat-Bulk describes crystalline Ac2MgNi4As3 at its relaxed geometry. The functional is GGA-PBE.

The value obtained for the total energy is -5.3872 eV per atom. The calculation puts the formation energy from the elements at -0.70 eV per atom. The calculation puts the density at 8.4 g/cm³. For the density of states at the Fermi level, the calculation gives 0.76 states/eV per atom.

The structure belongs to space group P-4m2 (No. 115); the cell edges are 4.2628, 4.2628 and 10.1573 Å and the angles 90.00°, 90.00° and 90.00°. Symmetry generates all atoms from Ac at (0.0000, 0.5000, 0.2370), Mg at (0.0000, 0.0000, 0.5000), Ni at (0.0000, 0.0000, 0.0000), Ni at (0.0000, 0.5000, 0.6359), Ni at (0.5000, 0.5000, 0.0000), As at (0.0000, 0.5000, 0.8770) and As at (0.5000, 0.5000, 0.5000).